! RbPd2Pb, optimized geometry, DFT GGA-PBE; values from VASP
! magnetic moment: 0.000 μB/cell
! formation energy from the elements: -0.20 eV/atom
! mass density: 6.9 Mg/m³
! VASP energy: -3.965 eV per atom
&SYSTEM
  ibrav = 0, nat = 4, ntyp = 3
/
ATOMIC_SPECIES
Pd 106.42 Pd.upf
Pb 207.20 Pb.upf
Rb 85.47 Rb.upf
ATOMIC_POSITIONS angstrom
Pd -2.949 7.470 3.891
Pd 0.187 3.313 2.024
Pb -1.381 5.391 2.957
Rb 0.000 0.000 0.000
CELL_PARAMETERS angstrom
-2.329 4.057 -0.844
-3.131 1.647 3.174
2.698 5.079 3.585